This record from Alexandria describes an optimized crystal structure of MoAuN2F. The functional is PBE with a Hubbard U.

```
MoAuN2F
1.0
3.992 0.000 0.000
0.000 3.992 0.000
0.000 0.000 4.123
Mo N Au F
1 2 1 1
Direct
0.000 0.000 0.000
0.000 0.500 0.000
0.500 0.000 0.000
0.500 0.500 0.500
0.000 0.000 0.500
```

Excess energy over the best structure of this formula in the dataset   0 meV/atom

***

This record from Alexandria describes an optimized crystal structure of Mo2Ir4F. The functional is PBE with a Hubbard U.

```
Mo2Ir4F
1.0
4.222 0.000 0.000
0.000 4.222 0.000
2.111 2.111 6.569
Mo Ir F
2 4 1
Direct
0.642 0.642 0.716
0.358 0.358 0.284
0.820 0.820 0.361
0.180 0.180 0.639
0.000 0.500 0.000
0.500 0.000 0.000
0.000 0.000 0.000
```

Electronic total energy   -6.18 eV per atom